Entry 1:
# FeSbIrPt

FeSbIrPt after structural relaxation (GGA-PBE, OQMD).

* DFT total energy: -107.9 eV per cell
* theoretical density: 14.76 g cm⁻³
* polymorph energy (0 for the lowest one): 0.00 eV per formula unit

Lattice parameters (Å, degrees): 6.3347 6.3347 6.3347 90.00 90.00 90.00
Closest atoms and distances in Å follow each position.
Space group F-43m (No. 216)
One atom of each set of equivalent atoms:
1 Fe 0.0000 0.0000 0.0000 (multiplicity 4)  4 Sb 2.74, 4 Pt 2.74
2 Sb 0.2500 0.2500 0.7500 (multiplicity 4)  4 Fe 2.74, 4 Ir 2.74
3 Ir 0.0000 0.0000 0.5000 (multiplicity 4)  4 Pt 2.74, 4 Sb 2.74
4 Pt 0.2500 0.2500 0.2500 (multiplicity 4)  4 Fe 2.74, 4 Ir 2.74

---

Entry 2:
# TlFeIrPt

TlFeIrPt after structural relaxation (GGA-PBE, OQMD).

* DFT total energy: -96.5 eV per cell
* theoretical density: 16.48 g cm⁻³
* polymorph energy (0 for the lowest one): 0.00 eV per formula unit

Lattice parameters (Å, degrees): 6.3901 6.3901 6.3901 90.00 90.00 90.00
Closest atoms and distances in Å follow each position.
Space group F-43m (No. 216)
One atom of each set of equivalent atoms:
1 Tl 0.0000 0.0000 0.0000 (multiplicity 4)  4 Ir 2.77, 4 Fe 2.77
2 Fe 0.2500 0.2500 0.2500 (multiplicity 4)  4 Tl 2.77, 4 Pt 2.77
3 Ir 0.2500 0.2500 0.7500 (multiplicity 4)  4 Pt 2.77, 4 Tl 2.77
4 Pt 0.0000 0.0000 0.5000 (multiplicity 4)  4 Fe 2.77, 4 Ir 2.77

---

Entry 3:
# RbFeIr

RbFeIr after structural relaxation (GGA-PBE, OQMD).

* DFT total energy: -54.5 eV per cell
* theoretical density: 7.81 g cm⁻³
* polymorph energy (0 for the lowest one): 0.00 eV per formula unit

Lattice parameters (Å, degrees): 6.5701 6.5701 6.5701 90.00 90.00 90.00
Closest atoms and distances in Å follow each position.
Space group F-43m (No. 216)
One atom of each set of equivalent atoms:
1 Rb 0.0000 0.0000 0.0000 (multiplicity 4)  4 Ir 2.84
2 Fe 0.0000 0.0000 0.5000 (multiplicity 4)  4 Ir 2.84
3 Ir 0.2500 0.2500 0.7500 (multiplicity 4)  4 Fe 2.84, 4 Rb 2.84